(1)
This record from the Alexandria database describes a relaxed PmPr2Er5Sc crystal. The functional is PBE.

a b c (Å): 5.5832 10.2376 10.4581
angles (deg): 90.00 90.00 105.82
Closest atoms and distances in Å follow each position.
Fractional positions:
Pm 0.4131 0.8262 0.4586  5 Er 3.04-3.23
Pm 0.5869 0.1738 0.9586  5 Er 3.04-3.23
Er 0.3759 0.7518 0.0185  1 Sc 3.52, 4 Pr 3.52-3.59, 4 Er 3.60-3.73
Er 0.2770 0.5541 0.3223  1 Pm 3.04, 1 Pr 3.24, 2 Er 3.39
Er 0.4822 0.9644 0.7390  2 Pm 3.09-3.23, 2 Pr 3.45
Er 0.2971 0.5943 0.7034  4 Er 3.39-3.67, 2 Sc 3.42, 1 Pm 3.43, 3 Pr 3.51-3.60
Er 0.6241 0.2482 0.5185  1 Sc 3.52, 4 Pr 3.52-3.59, 4 Er 3.60-3.73
Er 0.7230 0.4459 0.8223  1 Pm 3.04, 1 Pr 3.24, 2 Er 3.39
Er 0.0170 0.0341 0.0202  2 Pm 3.18, 2 Pr 3.34-3.43, 1 Sc 3.55
Er 0.7029 0.4057 0.2034  4 Er 3.39-3.67, 2 Sc 3.42, 1 Pm 3.43, 3 Pr 3.51-3.60
Er 0.9830 0.9659 0.5202  2 Pm 3.18, 2 Pr 3.34-3.43, 1 Sc 3.55
Er 0.5178 0.0356 0.2390  2 Pm 3.09-3.23, 2 Pr 3.45
Pr 0.1153 0.2305 0.7332  1 Sc 3.35, 7 Er 3.43-3.63, 2 Pm 3.70
Pr 0.1127 0.2254 0.3146  9 Er 3.24-3.61, 1 Sc 3.56
Pr 0.8847 0.7695 0.2332  1 Sc 3.35, 7 Er 3.43-3.63, 2 Pm 3.70
Pr 0.8873 0.7746 0.8146  9 Er 3.24-3.61, 1 Sc 3.56
Sc 0.1974 0.3948 0.0141  2 Pr 3.35-3.56, 7 Er 3.42-3.58, 2 Pm 3.59
Sc 0.8026 0.6052 0.5141  2 Pr 3.35-3.56, 7 Er 3.42-3.58, 2 Pm 3.59

Output
Calculated volume, Å³/f.u.: 288
D(E_F), states/eV/cell: 23.176
Total DFT energy (no corrections), eV per cell: -84.1
Formation energy from the elements, meV per atom: 158

---

(2)
This record from the Alexandria database describes a relaxed TlTcP2 crystal. The functional is PBE.

a b c (Å): 4.5913 4.5913 4.5913
angles (deg): 60.00 60.00 60.00
Closest atoms and distances in Å follow each position.
Fractional positions:
Tc 0.5000 0.5000 0.5000  4 Tl 2.81, 4 P 2.81
P 0.2500 0.2500 0.2500  4 Tc 2.81, 4 P 2.81
P 0.0000 0.0000 0.0000  4 Tl 2.81, 4 P 2.81
Tl 0.7500 0.7500 0.7500  4 P 2.81, 4 Tc 2.81

Output
Calculated volume, Å³/f.u.: 68
D(E_F), states/eV/cell: 2.911
E above lowest polymorph, meV per atom: 1008
Total DFT energy (no corrections), eV per cell: -19.8
Formation energy from the elements, meV per atom: 929

---

(3)
This record from the Alexandria database describes a relaxed SrSi crystal. The functional is PBE.

a b c (Å): 11.6704 11.6704 3.9505
angles (deg): 90.00 90.00 90.00
Closest atoms and distances in Å follow each position.
Fractional positions:
Si 0.7923 0.7923 0.0000  2 Si 2.42
Si 0.7077 0.2923 0.5000  2 Si 2.42
Si 0.2077 0.7923 0.0000  2 Si 2.42
Si 0.2923 0.2923 0.5000  2 Si 2.42
Si 0.7923 0.2077 0.0000  2 Si 2.42
Si 0.2077 0.2077 0.0000  2 Si 2.42
Si 0.7077 0.7077 0.5000  2 Si 2.42
Si 0.2923 0.7077 0.5000  2 Si 2.42
Sr 0.2308 0.5000 0.0000  6 Si 3.21-3.42
Sr 0.5000 0.2308 0.0000  6 Si 3.21-3.42
Sr 0.7692 0.5000 0.0000  6 Si 3.21-3.42
Sr 0.2692 0.0000 0.5000  6 Si 3.21-3.42
Sr 0.0000 0.7308 0.5000  6 Si 3.21-3.42
Sr 0.5000 0.7692 0.0000  6 Si 3.21-3.42
Sr 0.0000 0.2692 0.5000  6 Si 3.21-3.42
Sr 0.7308 0.0000 0.5000  6 Si 3.21-3.42

Output
Calculated volume, Å³/f.u.: 67
D(E_F), states/eV/cell: 12.380
Total DFT energy (no corrections), eV per cell: -61.8
Formation energy without anion corrections, meV/atom: -310.1

---

(4)
This record from the Alexandria database describes a relaxed Nd2Pd15Pt2 crystal. The functional is PBE.

a b c (Å): 6.9746 6.9746 6.9746
angles (deg): 82.30 82.30 82.30
Closest atoms and distances in Å follow each position.
Fractional positions:
Pd 0.1581 0.6505 0.6505  8 Pd 2.64-2.83, 1 Pt 2.89
Pd 0.0000 0.6988 0.3012  8 Pd 2.67-2.83
Pd 0.6988 0.3012 0.0000  8 Pd 2.67-2.83
Pd 0.6988 0.0000 0.3012  8 Pd 2.67-2.83
Pd 0.6505 0.6505 0.1581  8 Pd 2.64-2.83, 1 Pt 2.89
Pd 0.8419 0.3495 0.3495  8 Pd 2.64-2.83, 1 Pt 2.89
Pd 0.3495 0.8419 0.3495  8 Pd 2.64-2.83, 1 Pt 2.89
Pd 0.0000 0.5000 0.0000  8 Pd 2.67-2.68, 2 Pt 2.79
Pd 0.3012 0.0000 0.6988  8 Pd 2.67-2.83
Pd 0.5000 0.0000 0.0000  8 Pd 2.67-2.68, 2 Pt 2.79
Pd 0.6505 0.1581 0.6505  8 Pd 2.64-2.83, 1 Pt 2.89
Pd 0.0000 0.3012 0.6988  8 Pd 2.67-2.83
Pd 0.3495 0.3495 0.8419  8 Pd 2.64-2.83, 1 Pt 2.89
Pd 0.0000 0.0000 0.5000  8 Pd 2.67-2.68, 2 Pt 2.79
Pd 0.3012 0.6988 0.0000  8 Pd 2.67-2.83
Pt 0.8983 0.8983 0.8983  1 Pt 2.77, 12 Pd 2.79-3.09
Pt 0.1017 0.1017 0.1017  1 Pt 2.77, 12 Pd 2.79-3.09
Nd 0.3310 0.3310 0.3310  1 Pt 3.12, 15 Pd 3.22-3.47
Nd 0.6690 0.6690 0.6690  1 Pt 3.12, 15 Pd 3.22-3.47

Output
Calculated volume, Å³/f.u.: 331
D(E_F), states/eV/cell: 24.251
Total DFT energy (no corrections), eV per cell: -105.3
Formation energy from the elements, meV per atom: -307

---

What is the formula in the fourth record? Nd2Pd15Pt2